A plane-wave DFT calculation with GGA-PBE was carried out for Cs3Pm3HfSe8 after structural relaxation.

Cell: 9.8624 9.8624 9.8624 Å, 50.85 50.85 50.85°
Sites, in units of the cell vectors:
Cs 0.0000 0.5000 0.5000
Cs 0.5000 0.0000 0.5000
Cs 0.5000 0.5000 0.0000
Pm 0.0000 0.0000 0.5000
Pm 0.0000 0.5000 0.0000
Pm 0.5000 0.0000 0.0000
Hf 0.5000 0.5000 0.5000
Se 0.2301 0.2301 0.2301
Se 0.2512 0.7142 0.7142
Se 0.2858 0.2858 0.7488
Se 0.2858 0.7488 0.2858
Se 0.7142 0.2512 0.7142
Se 0.7142 0.7142 0.2512
Se 0.7488 0.2858 0.2858
Se 0.7699 0.7699 0.7699

The value obtained for the uncorrected formation energy is -24.9 eV per formula unit. The crystal system is trigonal.

=====

A plane-wave DFT calculation with GGA-PBE was carried out for Cs2Pm2HfSe6 after structural relaxation.

Cell: 7.2100 7.2100 8.9333 Å, 98.18 98.18 119.54°
Sites, in units of the cell vectors:
Cs 0.1718 0.8282 0.0000
Cs 0.8282 0.1718 0.0000
Pm 0.3330 0.6670 0.5000
Pm 0.6670 0.3330 0.5000
Hf 0.0000 0.0000 0.5000
Se 0.0650 0.3731 0.6830
Se 0.2441 0.2441 0.3185
Se 0.3731 0.0650 0.6830
Se 0.6269 0.9350 0.3170
Se 0.7559 0.7559 0.6815
Se 0.9350 0.6269 0.3170

The value obtained for the uncorrected formation energy is -18.0 eV per formula unit. The crystal system is monoclinic.

=====

A plane-wave DFT calculation with GGA-PBE was carried out for Cs3Pm2HfTe6 after structural relaxation.

Cell: 7.7905 7.7905 9.3280 Å, 98.02 98.02 120.00°
Sites, in units of the cell vectors:
Cs 0.0000 0.0000 0.0000
Cs 0.3265 0.6735 0.0000
Cs 0.6735 0.3265 0.0000
Pm 0.1659 0.8341 0.5000
Pm 0.8341 0.1659 0.5000
Hf 0.5000 0.5000 0.5000
Te 0.1249 0.4369 0.3103
Te 0.2531 0.2531 0.6925
Te 0.4369 0.1249 0.3103
Te 0.5631 0.8751 0.6897
Te 0.7469 0.7469 0.3075
Te 0.8751 0.5631 0.6897

The value obtained for the uncorrected formation energy is -14.5 eV per formula unit. The crystal system is monoclinic.